1.
{"formula": "Pr6Tm5Tl", "functional": "PBE", "state": "optimized geometry", "lattice": [[4.9212, -0.0030, -1.3787], [-3.4991, 8.2872, -3.0407], [0.0079, 0.0764, 9.4954]], "species": ["Tm", "Tm", "Tm", "Pr", "Pr", "Pr", "Tm", "Pr", "Tm", "Tl", "Pr", "Pr"], "frac_coords": [[0.5000, 0.8311, 0.1689], [0.5000, 0.1689, 0.8311], [0.0000, 0.6641, 0.3359], [0.7538, 0.5864, 0.9213], [0.7538, 0.9213, 0.5864], [0.2536, 0.7534, 0.7534], [0.0000, 0.3359, 0.6641], [0.2462, 0.0787, 0.4136], [0.5000, 0.5000, 0.5000], [0.0000, 0.0000, 0.0000], [0.7464, 0.2466, 0.2466], [0.2462, 0.4136, 0.0787]], "magmom_total_mub_per_fu": 0.000, "dos_ef_per_ev_fu": 15.72, "sg": "Immm, No. 71", "formation_enthalpy_0k_ev_per_fu": -0.36, "energy_ev_per_cell": -53.8}

2.
{"formula": "NaLi5Tl6", "functional": "PBE", "state": "optimized geometry", "lattice": [[4.8488, 0.0019, -1.0208], [-0.0030, 7.3174, -0.0007], [-0.9332, 0.0004, 7.7363]], "species": ["Li", "Li", "Li", "Tl", "Tl", "Tl", "Tl", "Na", "Li", "Tl", "Li", "Tl"], "frac_coords": [[0.3358, 0.5000, 0.6716], [0.3328, 0.0000, 0.6662], [0.6672, 0.0000, 0.3338], [0.5000, 0.2668, 0.0000], [0.1719, 0.7388, 0.3439], [0.8281, 0.2612, 0.6561], [0.8281, 0.7388, 0.6561], [0.0000, 0.0000, 0.0000], [0.0000, 0.5000, 0.0000], [0.1719, 0.2612, 0.3439], [0.6642, 0.5000, 0.3284], [0.5000, 0.7332, 0.0000]], "magmom_total_mub_per_fu": 0.000, "dos_ef_per_ev_fu": 4.60, "sg": "P2/m, No. 10", "formation_enthalpy_0k_ev_per_fu": -2.27, "energy_ev_per_cell": -27.4}

3.
{"formula": "CsRb2AcF6", "functional": "PBE", "state": "optimized geometry", "lattice": [[7.0610, 0.0000, -0.4080], [0.0000, 7.2032, 0.0000], [-3.1736, -3.6016, 5.3217]], "species": ["F", "F", "F", "Rb", "Rb", "Cs", "F", "F", "Ac", "F"], "frac_coords": [[0.6373, 0.2904, 0.5808], [0.1311, 0.6446, 0.8277], [0.8689, 0.3554, 0.1723], [0.2066, 0.2483, 0.4965], [0.7934, 0.7517, 0.5035], [0.5000, 0.0000, 0.0000], [0.3627, 0.7096, 0.4192], [0.8689, 0.8169, 0.1723], [0.0000, 0.5000, 0.0000], [0.1311, 0.1831, 0.8277]], "magmom_total_mub_per_fu": 0.116, "dos_ef_per_ev_fu": 0.00, "sg": "C2/m, No. 12", "energy_ev_per_cell": -50.9}

4.
{"formula": "UGeSb", "functional": "PBE", "state": "optimized geometry", "lattice": [[-2.0300, -1.0730, -1.9398], [1.0633, -4.7868, 1.5351], [-3.6815, 2.6970, 2.3608]], "species": ["Ge", "U", "Sb"], "frac_coords": [[0.5002, 0.6667, 0.3333], [0.9999, 0.0000, 0.0000], [0.4999, 0.3333, 0.6667]], "magmom_total_mub_per_fu": 2.548, "dos_ef_per_ev_fu": 5.07, "sg": "P-6m2, No. 187", "energy_ev_per_cell": -19.9}